Entry from OQMD via LeMat-Bulk: an optimized crystal structure of LiNbTeW (PBE).

a = 6.4671 Å, b = 6.4671 Å, c = 6.4671 Å
α = 90.00°, β = 90.00°, γ = 90.00°
Closest atoms and distances in Å follow each position.
Space group F-43m (No. 216)
Unique sites:
Li: 0.0000 0.0000 0.0000 (multiplicity 4)  4 Nb 2.80, 4 W 2.80
Nb: 0.2500 0.2500 0.2500 (multiplicity 4)  4 Li 2.80, 4 Te 2.80
Te: 0.0000 0.0000 0.5000 (multiplicity 4)  4 Nb 2.80, 4 W 2.80
W: 0.2500 0.2500 0.7500 (multiplicity 4)  4 Li 2.80, 4 Te 2.80

Computed properties:
Distance to the lowest polymorph of the same formula in eV/atom: 0.407